Entry 1:
# GGA-PBEsol Li2TcP, optimized geometry
data_Li2TcP
_symmetry_space_group_name_H-M 'P m m m'
_symmetry_Int_Tables_number 47
_symmetry_space_group_name_Hall '-P 2 2'
_cell_length_a 2.892
_cell_length_b 3.883
_cell_length_c 4.403
_cell_angle_alpha 90.00
_cell_angle_beta 90.00
_cell_angle_gamma 90.00
loop_
_atom_site_label
_atom_site_type_symbol
_atom_site_fract_x
_atom_site_fract_y
_atom_site_fract_z
_atom_site_occupancy
Li1 Li 0.000 0.000 0.000 1
Li2 Li 0.500 0.500 0.000 1
Tc1 Tc 0.000 0.500 0.500 1
P1 P 0.500 0.000 0.500 1
# * energy of formation: -0.207 eV/atom
# * DOS(E_F): 0.61 states/eV per atom
# * final energy: -5.454 eV per atom

Entry 2:
# GGA-PBEsol Li2TcP, optimized geometry
data_Li2TcP
_symmetry_space_group_name_H-M 'P 4/m m m'
_symmetry_Int_Tables_number 123
_symmetry_space_group_name_Hall '-P 4 2'
_cell_length_a 2.492
_cell_length_b 2.492
_cell_length_c 8.377
_cell_angle_alpha 90.00
_cell_angle_beta 90.00
_cell_angle_gamma 90.00
loop_
_atom_site_label
_atom_site_type_symbol
_atom_site_fract_x
_atom_site_fract_y
_atom_site_fract_z
_atom_site_occupancy
Li1 Li 0.000 0.000 0.230 1
Tc1 Tc 0.500 0.500 0.500 1
P1 P 0.500 0.500 0.000 1
# * energy of formation: -0.036 eV/atom
# * DOS(E_F): 0.34 states/eV per atom
# * final energy: -5.284 eV per atom

Entry 3:
# GGA-PBEsol LiTeP4, optimized geometry
data_LiTeP4
_symmetry_space_group_name_H-M 'F -4 3 m'
_symmetry_Int_Tables_number 216
_symmetry_space_group_name_Hall 'F -4 2 3'
_cell_length_a 8.058
_cell_length_b 8.058
_cell_length_c 8.058
_cell_angle_alpha 90.00
_cell_angle_beta 90.00
_cell_angle_gamma 90.00
loop_
_atom_site_label
_atom_site_type_symbol
_atom_site_fract_x
_atom_site_fract_y
_atom_site_fract_z
_atom_site_occupancy
Li1 Li 0.000 0.000 0.000 1
Te1 Te 0.250 0.250 0.750 1
P1 P 0.098 0.098 0.402 1
# * DOS(E_F): 0.62 states/eV per atom
# * final energy: -4.563 eV per atom
# * formation energy (no corrections): 0.21 eV per atom

Entry 4:
# GGA-PBEsol Li2TeP, optimized geometry
data_Li2TeP
_symmetry_space_group_name_H-M 'F m -3 m'
_symmetry_Int_Tables_number 225
_symmetry_space_group_name_Hall '-F 4 2 3'
_cell_length_a 6.576
_cell_length_b 6.576
_cell_length_c 6.576
_cell_angle_alpha 90.00
_cell_angle_beta 90.00
_cell_angle_gamma 90.00
loop_
_atom_site_label
_atom_site_type_symbol
_atom_site_fract_x
_atom_site_fract_y
_atom_site_fract_z
_atom_site_occupancy
Li1 Li 0.250 0.250 0.250 1
Te1 Te 0.000 0.000 0.000 1
P1 P 0.000 0.000 0.500 1
# * DOS(E_F): 0.38 states/eV per atom
# * distance to the lowest polymorph of the same formula: 115 meV/atom
# * final energy: -3.629 eV per atom
# * formation energy (no corrections): -0.32 eV per atom

Entry 5:
# GGA-PBEsol LiTe2P, optimized geometry
data_LiTe2P
_symmetry_space_group_name_H-M 'C 1 2/m 1'
_symmetry_Int_Tables_number 12
_symmetry_space_group_name_Hall '-C 2y'
_cell_length_a 7.896
_cell_length_b 7.880
_cell_length_c 3.028
_cell_angle_alpha 90.00
_cell_angle_beta 102.51
_cell_angle_gamma 90.00
loop_
_atom_site_label
_atom_site_type_symbol
_atom_site_fract_x
_atom_site_fract_y
_atom_site_fract_z
_atom_site_occupancy
Li1 Li 0.000 0.000 0.000 1
Te1 Te 0.250 0.250 0.000 1
P1 P 0.000 0.500 0.000 1
# * DOS(E_F): 0.42 states/eV per atom
# * final energy: -3.825 eV per atom
# * formation energy (no corrections): -0.12 eV per atom

Entry 6:
# GGA-PBEsol Li2TeP, optimized geometry
data_Li2TeP
_symmetry_space_group_name_H-M 'I m m m'
_symmetry_Int_Tables_number 71
_symmetry_space_group_name_Hall '-I 2 2'
_cell_length_a 3.880
_cell_length_b 4.528
_cell_length_c 8.053
_cell_angle_alpha 90.00
_cell_angle_beta 90.00
_cell_angle_gamma 90.00
loop_
_atom_site_label
_atom_site_type_symbol
_atom_site_fract_x
_atom_site_fract_y
_atom_site_fract_z
_atom_site_occupancy
Li1 Li 0.000 0.000 0.232 1
Te1 Te 0.000 0.500 0.000 1
P1 P 0.000 0.500 0.500 1
# * DOS(E_F): 0.29 states/eV per atom
# * distance to the lowest polymorph of the same formula: 0 meV/atom
# * final energy: -3.744 eV per atom
# * formation energy (no corrections): -0.43 eV per atom

Results for magnetic moment: 0.01, 0.00, 0.00, 0.00, 0.00, 0.00 (in μB per cell, following the order of the records).